[1]
Here is a relaxed structure of SbRu2O from Alexandria via LeMat-Bulk. Energies are from GGA-PBE.

Output
Space-group type = Fm-3m, No. 225
Raw formation energy = 8.2 kcal/mol of atoms
Energy above the most stable polymorph in this dataset = 348 meV/atom

a b c (Å): 4.327 4.327 4.327
angles (deg): 60.00 60.00 60.00
Atoms (fractional coordinates):
1 Sb 0.500 0.500 0.500
2 O 0.000 0.000 0.000
3 Ru 0.250 0.250 0.250
4 Ru 0.750 0.750 0.750

[2]
Here is a relaxed structure of CaNd2Th3Bi6 from Alexandria via LeMat-Bulk. Energies are from GGA-PBE.

Output
Space-group type = C2/m, No. 12
Calculated formation energy = -0.763 eV/atom

a b c (Å): 4.609 9.203 10.295
angles (deg): 102.73 102.93 90.00
Atoms (fractional coordinates):
1 Ca 0.500 0.000 0.000
2 Nd 0.834 0.667 0.667
3 Nd 0.166 0.333 0.333
4 Th 0.500 0.500 0.000
5 Th 0.834 0.167 0.668
6 Th 0.166 0.833 0.332
7 Bi 0.333 0.918 0.667
8 Bi 0.667 0.584 0.333
9 Bi 0.667 0.082 0.333
10 Bi 0.000 0.250 0.999
11 Bi 0.000 0.750 0.001
12 Bi 0.333 0.416 0.667

[3]
Here is a relaxed structure of Cs4PuF7 from Alexandria via LeMat-Bulk. Energies are from GGA-PBE.

Output
Space-group type = C2/m, No. 12
Raw formation energy = -68.9 kcal/mol of atoms

a b c (Å): 4.607 6.912 11.343
angles (deg): 107.25 101.72 90.00
Atoms (fractional coordinates):
1 Cs 0.409 0.454 0.817
2 Cs 0.591 0.546 0.183
3 Cs 0.298 0.825 0.597
4 Cs 0.702 0.175 0.403
5 Pu 0.000 0.000 0.000
6 F 0.097 0.244 0.194
7 F 0.903 0.756 0.806
8 F 0.952 0.245 0.903
9 F 0.048 0.755 0.097
10 F 0.718 0.765 0.436
11 F 0.500 0.000 0.000
12 F 0.282 0.235 0.564

Number 1: raw total energy -6.554 eV/atom, calculated volume 57 Å³ per cell, ρ 9.85 g cm⁻³. Number 2: raw total energy -5.520 eV/atom, calculated volume 415 Å³ per cell, ρ 9.13 g cm⁻³. Number 3: raw total energy -5.559 eV/atom, calculated volume 337 Å³ per cell, ρ 4.48 g cm⁻³.